(1)
DFT (PBE) results for a relaxed LuThNi crystal.

Lattice parameters (Å, degrees): 4.7645 4.7645 4.7645 60.00 60.00 60.00
With the nearest neighbours (Å) after each atom.
Fractional coordinates of all 3 atoms:
Ni (0.2500, 0.2500, 0.2500)  4 Lu 2.92, 4 Th 2.92
Lu (0.0000, 0.0000, 0.0000)  4 Ni 2.92
Th (0.5000, 0.5000, 0.5000)  4 Ni 2.92

Calculated values
DFT total energy, eV/atom: -6.010

(2)
DFT (PBE) results for a relaxed HfV2Cu crystal.

Lattice parameters (Å, degrees): 4.3996 4.3996 4.3996 60.00 60.00 60.00
With the nearest neighbours (Å) after each atom.
Fractional coordinates of all 4 atoms:
Hf (0.5000, 0.5000, 0.5000)  8 V 2.69
Cu (0.0000, 0.0000, 0.0000)  8 V 2.69
V (0.2500, 0.2500, 0.2500)  4 Hf 2.69, 4 Cu 2.69
V (0.7500, 0.7500, 0.7500)  4 Cu 2.69, 4 Hf 2.69

Calculated values
DFT total energy, eV/atom: -7.737

| no. | energy of formation from the pure elements (eV per formula unit) |
| --- | --- |
| 1 | -0.31 |
| 2 | 1.34 |